DFT (PBE) results for a relaxed structure of TaZnHgRh2.

Structure (CIF):
```
data_TaZnHgRh2
_chemical_formula_sum 'Ta1 Zn1 Hg1 Rh2'
_space_group_name_H-M_alt 'P 1'
_space_group_IT_number 1
_space_group_name_Hall 'P 1'
_cell_length_a 4.912
_cell_length_b 4.912
_cell_length_c 4.545
_cell_angle_alpha 90.00
_cell_angle_beta 90.00
_cell_angle_gamma 90.00
loop_
_atom_site_label
_atom_site_type_symbol
_atom_site_fract_x
_atom_site_fract_y
_atom_site_fract_z
_atom_site_occupancy
Ta1 Ta 0.000 0.000 0.000 1
Zn1 Zn 0.500 0.500 0.000 1
Hg1 Hg 0.500 0.500 0.500 1
Rh1 Rh 0.000 0.500 0.500 1
Rh2 Rh 0.500 0.000 0.500 1
```

Values from the calculation:
- formation enthalpy at 0 K (eV/atom) = 1.614
- M_tot (μB/atom) = 0.35
- space-group type = No. 123
- total DFT energy (no corrections) (Ha/atom) = -0.147
- D(E_F) (states/eV/atom) = 1.45



DFT (PBE) results for a relaxed structure of Tb3Hg2Rh3.

Structure (CIF):
```
data_Tb3Hg2Rh3
_chemical_formula_sum 'Tb3 Hg2 Rh3'
_space_group_name_H-M_alt 'P 1'
_space_group_IT_number 1
_space_group_name_Hall 'P 1'
_cell_length_a 10.265
_cell_length_b 10.265
_cell_length_c 10.265
_cell_angle_alpha 159.74
_cell_angle_beta 153.38
_cell_angle_gamma 33.68
loop_
_atom_site_label
_atom_site_type_symbol
_atom_site_fract_x
_atom_site_fract_y
_atom_site_fract_z
_atom_site_occupancy
Tb1 Tb 0.000 0.000 0.000 1
Tb2 Tb 0.375 0.875 0.500 1
Tb3 Tb 0.625 0.125 0.500 1
Hg1 Hg 0.234 0.234 0.000 1
Hg2 Hg 0.766 0.766 0.000 1
Rh1 Rh 0.117 0.617 0.500 1
Rh2 Rh 0.500 0.500 0.000 1
Rh3 Rh 0.883 0.383 0.500 1
```

Values from the calculation:
- formation enthalpy at 0 K (eV/atom) = -0.603
- M_tot (μB/atom) = 0.00
- space-group type = No. 71
- total DFT energy (no corrections) (Ha/atom) = -0.190
- D(E_F) (states/eV/atom) = 0.52



DFT (PBE) results for a relaxed structure of Tb11Hg9Rh4.

Structure (CIF):
```
data_Tb11Hg9Rh4
_chemical_formula_sum 'Tb11 Hg9 Rh4'
_space_group_name_H-M_alt 'P 1'
_space_group_IT_number 1
_space_group_name_Hall 'P 1'
_cell_length_a 12.997
_cell_length_b 12.997
_cell_length_c 3.694
_cell_angle_alpha 90.00
_cell_angle_beta 90.00
_cell_angle_gamma 112.54
loop_
_atom_site_label
_atom_site_type_symbol
_atom_site_fract_x
_atom_site_fract_y
_atom_site_fract_z
_atom_site_occupancy
Tb1 Tb 0.000 0.000 0.000 1
Tb2 Tb 0.082 0.416 0.000 1
Tb3 Tb 0.166 0.834 0.000 1
Tb4 Tb 0.298 0.298 0.000 1
Tb5 Tb 0.369 0.631 0.000 1
Tb6 Tb 0.416 0.082 0.000 1
Tb7 Tb 0.584 0.918 0.000 1
Tb8 Tb 0.631 0.369 0.000 1
Tb9 Tb 0.702 0.702 0.000 1
Tb10 Tb 0.834 0.166 0.000 1
Tb11 Tb 0.918 0.584 0.000 1
Hg1 Hg 0.062 0.212 0.500 1
Hg2 Hg 0.151 0.631 0.500 1
Hg3 Hg 0.212 0.062 0.500 1
Hg4 Hg 0.369 0.849 0.500 1
Hg5 Hg 0.500 0.500 0.500 1
Hg6 Hg 0.631 0.151 0.500 1
Hg7 Hg 0.788 0.938 0.500 1
Hg8 Hg 0.849 0.369 0.500 1
Hg9 Hg 0.938 0.788 0.500 1
Rh1 Rh 0.255 0.451 0.500 1
Rh2 Rh 0.451 0.255 0.500 1
Rh3 Rh 0.549 0.745 0.500 1
Rh4 Rh 0.745 0.549 0.500 1
```

Values from the calculation:
- formation enthalpy at 0 K (eV/atom) = -0.626
- M_tot (μB/atom) = 0.00
- space-group type = No. 65
- total DFT energy (no corrections) (Ha/atom) = -0.150
- D(E_F) (states/eV/atom) = 0.67



DFT (PBE) results for a relaxed structure of Tb7Hg2Rh2.

Structure (CIF):
```
data_Tb7Hg2Rh2
_chemical_formula_sum 'Tb7 Hg2 Rh2'
_space_group_name_H-M_alt 'P 1'
_space_group_IT_number 1
_space_group_name_Hall 'P 1'
_cell_length_a 6.773
_cell_length_b 6.773
_cell_length_c 7.158
_cell_angle_alpha 90.00
_cell_angle_beta 90.00
_cell_angle_gamma 107.83
loop_
_atom_site_label
_atom_site_type_symbol
_atom_site_fract_x
_atom_site_fract_y
_atom_site_fract_z
_atom_site_occupancy
Tb1 Tb 0.000 0.000 0.000 1
Tb2 Tb 0.000 0.500 0.252 1
Tb3 Tb 0.000 0.500 0.748 1
Tb4 Tb 0.500 0.000 0.252 1
Tb5 Tb 0.500 0.000 0.748 1
Tb6 Tb 0.500 0.500 0.246 1
Tb7 Tb 0.500 0.500 0.754 1
Hg1 Hg 0.184 0.184 0.500 1
Hg2 Hg 0.816 0.816 0.500 1
Rh1 Rh 0.290 0.710 0.000 1
Rh2 Rh 0.710 0.290 0.000 1
```

Values from the calculation:
- formation enthalpy at 0 K (eV/atom) = -0.414
- M_tot (μB/atom) = 0.00
- space-group type = No. 65
- total DFT energy (no corrections) (Ha/atom) = -0.175
- D(E_F) (states/eV/atom) = 0.93



DFT (PBE) results for a relaxed structure of Tb3HgRh4.

Structure (CIF):
```
data_Tb3HgRh4
_chemical_formula_sum 'Tb3 Hg1 Rh4'
_space_group_name_H-M_alt 'P 1'
_space_group_IT_number 1
_space_group_name_Hall 'P 1'
_cell_length_a 4.729
_cell_length_b 4.729
_cell_length_c 6.928
_cell_angle_alpha 90.00
_cell_angle_beta 90.00
_cell_angle_gamma 90.00
loop_
_atom_site_label
_atom_site_type_symbol
_atom_site_fract_x
_atom_site_fract_y
_atom_site_fract_z
_atom_site_occupancy
Tb1 Tb 0.000 0.000 0.000 1
Tb2 Tb 0.000 0.000 0.500 1
Tb3 Tb 0.500 0.500 0.000 1
Hg1 Hg 0.500 0.500 0.500 1
Rh1 Rh 0.000 0.500 0.244 1
Rh2 Rh 0.000 0.500 0.756 1
Rh3 Rh 0.500 0.000 0.244 1
Rh4 Rh 0.500 0.000 0.756 1
```

Values from the calculation:
- formation enthalpy at 0 K (eV/atom) = -0.674
- M_tot (μB/atom) = 0.00
- space-group type = No. 123
- total DFT energy (no corrections) (Ha/atom) = -0.225
- D(E_F) (states/eV/atom) = 0.36



DFT (PBE) results for a relaxed structure of Tb5HgRh2.

Structure (CIF):
```
data_Tb5HgRh2
_chemical_formula_sum 'Tb10 Hg2 Rh4'
_space_group_name_H-M_alt 'P 1'
_space_group_IT_number 1
_space_group_name_Hall 'P 1'
_cell_length_a 8.688
_cell_length_b 8.688
_cell_length_c 8.688
_cell_angle_alpha 126.84
_cell_angle_beta 126.84
_cell_angle_gamma 78.52
loop_
_atom_site_label
_atom_site_type_symbol
_atom_site_fract_x
_atom_site_fract_y
_atom_site_fract_z
_atom_site_occupancy
Tb1 Tb 0.000 0.000 0.000 1
Tb2 Tb 0.025 0.525 0.822 1
Tb3 Tb 0.203 0.025 0.500 1
Tb4 Tb 0.297 0.797 0.822 1
Tb5 Tb 0.475 0.297 0.500 1
Tb6 Tb 0.500 0.500 0.000 1
Tb7 Tb 0.525 0.703 0.500 1
Tb8 Tb 0.703 0.203 0.178 1
Tb9 Tb 0.797 0.975 0.500 1
Tb10 Tb 0.975 0.475 0.178 1
Hg1 Hg 0.250 0.250 0.000 1
Hg2 Hg 0.750 0.750 0.000 1
Rh1 Rh 0.139 0.361 0.500 1
Rh2 Rh 0.361 0.861 0.222 1
Rh3 Rh 0.639 0.139 0.778 1
Rh4 Rh 0.861 0.639 0.500 1
```

Values from the calculation:
- formation enthalpy at 0 K (eV/atom) = -0.628
- M_tot (μB/atom) = 0.00
- space-group type = No. 140
- total DFT energy (no corrections) (Ha/atom) = -0.198
- D(E_F) (states/eV/atom) = 0.68



DFT (PBE) results for a relaxed structure of Tb5Hg2Rh.

Structure (CIF):
```
data_Tb5Hg2Rh
_chemical_formula_sum 'Tb10 Hg4 Rh2'
_space_group_name_H-M_alt 'P 1'
_space_group_IT_number 1
_space_group_name_Hall 'P 1'
_cell_length_a 7.183
_cell_length_b 12.070
_cell_length_c 4.925
_cell_angle_alpha 90.00
_cell_angle_beta 90.00
_cell_angle_gamma 90.00
loop_
_atom_site_label
_atom_site_type_symbol
_atom_site_fract_x
_atom_site_fract_y
_atom_site_fract_z
_atom_site_occupancy
Tb1 Tb 0.000 0.000 0.000 1
Tb2 Tb 0.141 0.293 0.000 1
Tb3 Tb 0.176 0.586 0.500 1
Tb4 Tb 0.324 0.086 0.500 1
Tb5 Tb 0.359 0.793 0.000 1
Tb6 Tb 0.500 0.500 0.000 1
Tb7 Tb 0.641 0.207 0.000 1
Tb8 Tb 0.676 0.914 0.500 1
Tb9 Tb 0.824 0.414 0.500 1
Tb10 Tb 0.859 0.707 0.000 1
Hg1 Hg 0.084 0.840 0.500 1
Hg2 Hg 0.416 0.340 0.500 1
Hg3 Hg 0.584 0.660 0.500 1
Hg4 Hg 0.916 0.160 0.500 1
Rh1 Rh 0.000 0.500 0.000 1
Rh2 Rh 0.500 0.000 0.000 1
```

Values from the calculation:
- formation enthalpy at 0 K (eV/atom) = -0.493
- M_tot (μB/atom) = 0.00
- space-group type = No. 55
- total DFT energy (no corrections) (Ha/atom) = -0.161
- D(E_F) (states/eV/atom) = 0.79



DFT (PBE) results for a relaxed structure of Tb6Hg2Rh.

Structure (CIF):
```
data_Tb6Hg2Rh
_chemical_formula_sum 'Tb6 Hg2 Rh1'
_space_group_name_H-M_alt 'P 1'
_space_group_IT_number 1
_space_group_name_Hall 'P 1'
_cell_length_a 3.769
_cell_length_b 8.644
_cell_length_c 8.644
_cell_angle_alpha 120.23
_cell_angle_beta 90.00
_cell_angle_gamma 90.00
loop_
_atom_site_label
_atom_site_type_symbol
_atom_site_fract_x
_atom_site_fract_y
_atom_site_fract_z
_atom_site_occupancy
Tb1 Tb 0.000 0.000 0.000 1
Tb2 Tb 0.000 0.514 0.759 1
Tb3 Tb 0.000 0.759 0.514 1
Tb4 Tb 0.500 0.159 0.759 1
Tb5 Tb 0.500 0.357 0.357 1
Tb6 Tb 0.500 0.759 0.159 1
Hg1 Hg 0.000 0.092 0.425 1
Hg2 Hg 0.000 0.425 0.092 1
Rh1 Rh 0.500 0.754 0.754 1
```

Values from the calculation:
- formation enthalpy at 0 K (eV/atom) = -0.422
- M_tot (μB/atom) = 0.00
- space-group type = No. 38
- total DFT energy (no corrections) (Ha/atom) = -0.161
- D(E_F) (states/eV/atom) = 1.29



DFT (PBE) results for a relaxed structure of Tb3Hg4Rh4.

Structure (CIF):
```
data_Tb3Hg4Rh4
_chemical_formula_sum 'Tb3 Hg4 Rh4'
_space_group_name_H-M_alt 'P 1'
_space_group_IT_number 1
_space_group_name_Hall 'P 1'
_cell_length_a 9.369
_cell_length_b 9.369
_cell_length_c 9.369
_cell_angle_alpha 158.66
_cell_angle_beta 128.93
_cell_angle_gamma 55.96
loop_
_atom_site_label
_atom_site_type_symbol
_atom_site_fract_x
_atom_site_fract_y
_atom_site_fract_z
_atom_site_occupancy
Tb1 Tb 0.000 0.000 0.000 1
Tb2 Tb 0.395 0.895 0.500 1
Tb3 Tb 0.605 0.105 0.500 1
Hg1 Hg 0.026 0.339 0.687 1
Hg2 Hg 0.348 0.661 0.687 1
Hg3 Hg 0.652 0.339 0.313 1
Hg4 Hg 0.974 0.661 0.313 1
Rh1 Rh 0.260 0.260 0.000 1
Rh2 Rh 0.291 0.500 0.791 1
Rh3 Rh 0.709 0.500 0.209 1
Rh4 Rh 0.740 0.740 0.000 1
```

Values from the calculation:
- formation enthalpy at 0 K (eV/atom) = -0.408
- M_tot (μB/atom) = 0.00
- space-group type = No. 71
- total DFT energy (no corrections) (Ha/atom) = -0.164
- D(E_F) (states/eV/atom) = 0.44



DFT (PBE) results for a relaxed structure of Tb4Hg3Rh.

Structure (CIF):
```
data_Tb4Hg3Rh
_chemical_formula_sum 'Tb4 Hg3 Rh1'
_space_group_name_H-M_alt 'P 1'
_space_group_IT_number 1
_space_group_name_Hall 'P 1'
_cell_length_a 3.619
_cell_length_b 3.619
_cell_length_c 15.013
_cell_angle_alpha 90.00
_cell_angle_beta 90.00
_cell_angle_gamma 90.00
loop_
_atom_site_label
_atom_site_type_symbol
_atom_site_fract_x
_atom_site_fract_y
_atom_site_fract_z
_atom_site_occupancy
Tb1 Tb 0.000 0.000 0.108 1
Tb2 Tb 0.000 0.000 0.371 1
Tb3 Tb 0.000 0.000 0.629 1
Tb4 Tb 0.000 0.000 0.892 1
Hg1 Hg 0.500 0.500 0.244 1
Hg2 Hg 0.500 0.500 0.500 1
Hg3 Hg 0.500 0.500 0.756 1
Rh1 Rh 0.500 0.500 0.000 1
```

Values from the calculation:
- formation enthalpy at 0 K (eV/atom) = -0.572
- M_tot (μB/atom) = 0.00
- space-group type = No. 123
- total DFT energy (no corrections) (Ha/atom) = -0.144
- D(E_F) (states/eV/atom) = 0.76



DFT (PBE) results for a relaxed structure of Tb6HgRh5.

Structure (CIF):
```
data_Tb6HgRh5
_chemical_formula_sum 'Tb6 Hg1 Rh5'
_space_group_name_H-M_alt 'P 1'
_space_group_IT_number 1
_space_group_name_Hall 'P 1'
_cell_length_a 4.900
_cell_length_b 7.067
_cell_length_c 7.756
_cell_angle_alpha 90.00
_cell_angle_beta 108.31
_cell_angle_gamma 90.00
loop_
_atom_site_label
_atom_site_type_symbol
_atom_site_fract_x
_atom_site_fract_y
_atom_site_fract_z
_atom_site_occupancy
Tb1 Tb 0.000 0.237 0.000 1
Tb2 Tb 0.000 0.763 0.000 1
Tb3 Tb 0.328 0.246 0.657 1
Tb4 Tb 0.328 0.754 0.657 1
Tb5 Tb 0.672 0.246 0.343 1
Tb6 Tb 0.672 0.754 0.343 1
Hg1 Hg 0.500 0.500 0.000 1
Rh1 Rh 0.166 0.500 0.331 1
Rh2 Rh 0.167 0.000 0.335 1
Rh3 Rh 0.500 0.000 0.000 1
Rh4 Rh 0.833 0.000 0.665 1
Rh5 Rh 0.834 0.500 0.669 1
```

Values from the calculation:
- formation enthalpy at 0 K (eV/atom) = -0.761
- M_tot (μB/atom) = 0.00
- space-group type = No. 10
- total DFT energy (no corrections) (Ha/atom) = -0.227
- D(E_F) (states/eV/atom) = 0.57



DFT (PBE) results for a relaxed structure of Tb4HgRh.

Structure (CIF):
```
data_Tb4HgRh
_chemical_formula_sum 'Tb16 Hg4 Rh4'
_space_group_name_H-M_alt 'P 1'
_space_group_IT_number 1
_space_group_name_Hall 'P 1'
_cell_length_a 9.616
_cell_length_b 9.616
_cell_length_c 9.616
_cell_angle_alpha 60.00
_cell_angle_beta 60.00
_cell_angle_gamma 60.00
loop_
_atom_site_label
_atom_site_type_symbol
_atom_site_fract_x
_atom_site_fract_y
_atom_site_fract_z
_atom_site_occupancy
Tb1 Tb 0.060 0.060 0.440 1
Tb2 Tb 0.060 0.440 0.060 1
Tb3 Tb 0.060 0.440 0.440 1
Tb4 Tb 0.187 0.187 0.813 1
Tb5 Tb 0.187 0.813 0.187 1
Tb6 Tb 0.187 0.813 0.813 1
Tb7 Tb 0.196 0.601 0.601 1
Tb8 Tb 0.440 0.060 0.060 1
Tb9 Tb 0.440 0.060 0.440 1
Tb10 Tb 0.440 0.440 0.060 1
Tb11 Tb 0.601 0.196 0.601 1
Tb12 Tb 0.601 0.601 0.196 1
Tb13 Tb 0.601 0.601 0.601 1
Tb14 Tb 0.813 0.187 0.187 1
Tb15 Tb 0.813 0.187 0.813 1
Tb16 Tb 0.813 0.813 0.187 1
Hg1 Hg 0.496 0.835 0.835 1
Hg2 Hg 0.835 0.496 0.835 1
Hg3 Hg 0.835 0.835 0.496 1
Hg4 Hg 0.835 0.835 0.835 1
Rh1 Rh 0.393 0.393 0.393 1
Rh2 Rh 0.393 0.393 0.822 1
Rh3 Rh 0.393 0.822 0.393 1
Rh4 Rh 0.822 0.393 0.393 1
```

Values from the calculation:
- formation enthalpy at 0 K (eV/atom) = -0.540
- M_tot (μB/atom) = 0.00
- space-group type = No. 216
- total DFT energy (no corrections) (Ha/atom) = -0.180
- D(E_F) (states/eV/atom) = 0.59